1.
## Ti3NbPt (PBE-GGA)

Data for Ti3NbPt after structural relaxation.

For the formation energy, the calculation gives -0.279 eV per atom. Its volume is 679.22 Å³ per cell. As for the excess energy over the best structure of this formula in the dataset: 0 meV per atom.

Cell: 12.044 10.892 5.397 Å, 90.00 106.39 90.00°
Space group C2/c (No. 15)
Inequivalent atoms, fractional coordinates:
Ti (0.093, 0.161, 0.480) x8
Ti (0.196, 0.296, 0.169) x8
Ti (0.201, 0.441, 0.648) x8
Nb (0.000, 0.328, 0.750) x4
Nb (0.000, 0.413, 0.250) x4
Pt (0.112, 0.082, 0.957) x8

=====

2.
## TiNbPt2 (PBE-GGA)

Data for TiNbPt2 after structural relaxation.

For the formation energy, the calculation gives -0.779 eV per atom. Its volume is 64.12 Å³ per cell.

Cell: 2.821 2.821 8.059 Å, 90.00 90.00 90.00°
Space group P4/mmm (No. 123)
Inequivalent atoms, fractional coordinates:
Ti (0.000, 0.000, 0.000) x1
Nb (0.000, 0.000, 0.500) x1
Pt (0.500, 0.500, 0.243) x2

=====

3.
## TiNbPt (PBE-GGA)

Data for TiNbPt after structural relaxation.

For the formation energy, the calculation gives -0.323 eV per atom. Its volume is 49.50 Å³ per cell. As for the excess energy over the best structure of this formula in the dataset: 112 meV per atom.

Cell: 4.5355 4.5355 2.7784 Å, 90.00 90.00 120.00°
Space group P3m1 (No. 156)
Inequivalent atoms, fractional coordinates:
Ti (0.0000, 0.0000, 0.0000) x1
Nb (0.6667, 0.3333, 0.6914) x1
Pt (0.3333, 0.6667, 0.3353) x1

=====

4.
## TiNb2Pt (PBE-GGA)

Data for TiNb2Pt after structural relaxation.

For the formation energy, the calculation gives -0.387 eV per atom. Its volume is 68.26 Å³ per cell. As for the excess energy over the best structure of this formula in the dataset: 35 meV per atom.

Cell: 3.878 3.878 4.539 Å, 90.00 90.00 90.00°
Space group P4/mmm (No. 123)
Inequivalent atoms, fractional coordinates:
Ti (0.000, 0.000, 0.000) x1
Nb (0.000, 0.500, 0.500) x2
Pt (0.500, 0.500, 0.000) x1

=====

5.
## TiNb8Pt2 (PBE-GGA)

Data for TiNb8Pt2 after structural relaxation.

For the formation energy, the calculation gives 0.479 eV per atom. Its volume is 225.09 Å³ per cell.

Cell: 6.074 6.074 6.101 Å, 90.00 90.00 90.00°
Space group P4/mmm (No. 123)
Inequivalent atoms, fractional coordinates:
Ti (0.000, 0.000, 0.000) x1
Nb (0.264, 0.264, 0.228) x8
Pt (0.000, 0.500, 0.500) x2

=====

6.
## TiNbPt (PBE-GGA)

Data for TiNbPt after structural relaxation.

For the formation energy, the calculation gives -0.436 eV per atom. Its volume is 206.83 Å³ per cell. As for the excess energy over the best structure of this formula in the dataset: 0 meV per atom.

Cell: 5.513 5.388 7.098 Å, 90.00 101.21 90.00°
Space group C2/m (No. 12)
Inequivalent atoms, fractional coordinates:
Ti (0.124, 0.000, 0.346) x4
Nb (0.250, 0.250, 0.000) x4
Pt (0.098, 0.500, 0.317) x4

=====

7.
## Ti4NbPt3 (PBE-GGA)

Data for Ti4NbPt3 after structural relaxation.

For the formation energy, the calculation gives -0.679 eV per atom. Its volume is 129.93 Å³ per cell.

Cell: 3.300 3.300 11.934 Å, 90.00 90.00 90.00°
Space group P4/mmm (No. 123)
Inequivalent atoms, fractional coordinates:
Ti (0.000, 0.000, 0.121) x2
Ti (0.000, 0.000, 0.371) x2
Nb (0.500, 0.500, 0.500) x1
Pt (0.500, 0.500, 0.000) x1
Pt (0.500, 0.500, 0.240) x2

=====

8.
## Ti4Nb4Pt (PBE-GGA)

Data for Ti4Nb4Pt after structural relaxation.

For the formation energy, the calculation gives -0.216 eV per atom. Its volume is 155.04 Å³ per cell.

Cell: 4.506 5.405 7.345 Å, 82.74 72.27 65.49°
Space group P-1 (No. 2)
Inequivalent atoms, fractional coordinates:
Ti (0.160, 0.180, 0.000) x2
Ti (0.173, 0.500, 0.654) x2
Nb (0.166, 0.841, 0.328) x2
Nb (0.494, 0.841, 0.672) x2
Pt (0.500, 0.500, 0.000) x1

=====

9.
## TiNbPt2 (PBE-GGA)

Data for TiNbPt2 after structural relaxation.

For the formation energy, the calculation gives -0.775 eV per atom. Its volume is 128.14 Å³ per cell.

Cell: 5.613 8.071 2.829 Å, 90.00 90.00 90.00°
Space group Cmmm (No. 65)
Inequivalent atoms, fractional coordinates:
Ti (0.000, 0.000, 0.000) x2
Nb (0.000, 0.500, 0.000) x2
Pt (0.250, 0.250, 0.500) x4

=====

10.
## TiNbVPt (PBE-GGA)

Data for TiNbVPt after structural relaxation.

For the formation energy, the calculation gives -0.438 eV per atom. Its volume is 248.09 Å³ per cell.

Cell: 6.284 6.284 6.284 Å, 90.00 90.00 90.00°
Space group F-43m (No. 216)
Inequivalent atoms, fractional coordinates:
Ti (0.000, 0.000, 0.000) x4
Nb (0.250, 0.250, 0.250) x4
V (0.000, 0.000, 0.500) x4
Pt (0.250, 0.250, 0.750) x4

=====

11.
## ZrTiNbPt2 (PBE-GGA)

Data for ZrTiNbPt2 after structural relaxation.

For the formation energy, the calculation gives 0.770 eV per atom. Its volume is 117.80 Å³ per cell.

Cell: 4.883 4.883 4.941 Å, 90.00 90.00 90.00°
Space group P4/mmm (No. 123)
Inequivalent atoms, fractional coordinates:
Zr (0.000, 0.000, 0.000) x1
Ti (0.500, 0.500, 0.000) x1
Nb (0.000, 0.000, 0.500) x1
Pt (0.000, 0.500, 0.500) x2

=====

12.
## ZrTiNbPt (PBE-GGA)

Data for ZrTiNbPt after structural relaxation.

For the formation energy, the calculation gives -0.477 eV per atom. Its volume is 281.21 Å³ per cell.

Cell: 6.552 6.552 6.552 Å, 90.00 90.00 90.00°
Space group F-43m (No. 216)
Inequivalent atoms, fractional coordinates:
Zr (0.000, 0.000, 0.000) x4
Ti (0.000, 0.000, 0.500) x4
Nb (0.250, 0.250, 0.750) x4
Pt (0.250, 0.250, 0.250) x4

=====

13.
## NbTlPt3 (PBE-GGA)

Data for NbTlPt3 after structural relaxation.

For the formation energy, the calculation gives 0.685 eV per atom. Its volume is 122.72 Å³ per cell. As for the excess energy over the best structure of this formula in the dataset: 0 meV per atom.

Cell: 4.969 4.969 4.969 Å, 90.00 90.00 90.00°
Space group Pm-3m (No. 221)
Inequivalent atoms, fractional coordinates:
Nb (0.000, 0.000, 0.000) x1
Tl (0.500, 0.500, 0.500) x1
Pt (0.000, 0.000, 0.500) x3

=====

14.
## NbTl3Pt (PBE-GGA)

Data for NbTl3Pt after structural relaxation.

For the formation energy, the calculation gives 1.163 eV per atom. Its volume is 159.41 Å³ per cell. As for the excess energy over the best structure of this formula in the dataset: 289 meV per atom.

Cell: 5.422 5.422 5.422 Å, 90.00 90.00 90.00°
Space group Pm-3m (No. 221)
Inequivalent atoms, fractional coordinates:
Nb (0.000, 0.000, 0.000) x1
Tl (0.000, 0.000, 0.500) x3
Pt (0.500, 0.500, 0.500) x1

=====

15.
## NbTl2Pt2 (PBE-GGA)

Data for NbTl2Pt2 after structural relaxation.

For the formation energy, the calculation gives 0.439 eV per atom. Its volume is 212.63 Å³ per cell. As for the excess energy over the best structure of this formula in the dataset: 294 meV per atom.

Cell: 3.995 3.995 13.321 Å, 90.00 90.00 90.00°
Space group I4/mmm (No. 139)
Inequivalent atoms, fractional coordinates:
Nb (0.000, 0.000, 0.000) x2
Tl (0.000, 0.500, 0.250) x4
Pt (0.000, 0.000, 0.405) x4

=====

16.
## NbTl2Pt2 (PBE-GGA)

Data for NbTl2Pt2 after structural relaxation.

For the formation energy, the calculation gives 0.146 eV per atom. Its volume is 208.32 Å³ per cell. As for the excess energy over the best structure of this formula in the dataset: 0 meV per atom.

Cell: 6.929 6.929 4.339 Å, 90.00 90.00 90.00°
Space group P4/mbm (No. 127)
Inequivalent atoms, fractional coordinates:
Nb (0.000, 0.000, 0.000) x2
Tl (0.175, 0.325, 0.500) x4
Pt (0.136, 0.636, 0.000) x4

=====

17.
## NbTl3Pt (PBE-GGA)

Data for NbTl3Pt after structural relaxation.

For the formation energy, the calculation gives 0.874 eV per atom. Its volume is 149.41 Å³ per cell. As for the excess energy over the best structure of this formula in the dataset: 0 meV per atom.

Cell: 5.306 5.306 5.306 Å, 90.00 90.00 90.00°
Space group Pm-3m (No. 221)
Inequivalent atoms, fractional coordinates:
Nb (0.000, 0.000, 0.000) x1
Tl (0.000, 0.500, 0.500) x3
Pt (0.500, 0.500, 0.500) x1

=====

18.
## NbTl2Pt (PBE-GGA)

Data for NbTl2Pt after structural relaxation.

For the formation energy, the calculation gives 0.405 eV per atom. Its volume is 324.85 Å³ per cell. As for the excess energy over the best structure of this formula in the dataset: 0 meV per atom.

Cell: 6.874 6.874 6.874 Å, 90.00 90.00 90.00°
Space group Fm-3m (No. 225)
Inequivalent atoms, fractional coordinates:
Nb (0.000, 0.000, 0.000) x4
Tl (0.250, 0.250, 0.250) x8
Pt (0.000, 0.000, 0.500) x4

=====

19.
## NbTl2Pt (PBE-GGA)

Data for NbTl2Pt after structural relaxation.

For the formation energy, the calculation gives 0.470 eV per atom. Its volume is 352.88 Å³ per cell. As for the excess energy over the best structure of this formula in the dataset: 65 meV per atom.

Cell: 7.774 7.774 5.840 Å, 90.00 90.00 90.00°
Space group I-42d (No. 122)
Inequivalent atoms, fractional coordinates:
Nb (0.000, 0.000, 0.000) x4
Tl (0.231, 0.250, 0.625) x8
Pt (0.000, 0.000, 0.500) x4

=====

20.
## ZrNbTl2Pt (PBE-GGA)

Data for ZrNbTl2Pt after structural relaxation.

For the formation energy, the calculation gives 1.279 eV per atom. Its volume is 144.41 Å³ per cell.

Cell: 5.446 5.446 4.868 Å, 90.00 90.00 90.00°
Space group P4/mmm (No. 123)
Inequivalent atoms, fractional coordinates:
Zr (0.000, 0.000, 0.000) x1
Nb (0.500, 0.500, 0.500) x1
Tl (0.000, 0.500, 0.000) x2
Pt (0.000, 0.000, 0.500) x1